No. 1
Below is a geometry-optimized Ru3WS structure, with properties calculated at the PBE level.

The structure in extended XYZ format:
```
5
Lattice="4.3044 0.0000 0.0000 0.0000 4.3044 0.0000 0.0000 0.0000 4.3044" Properties=species:S:1:pos:R:3 pbc="T T T"
Ru 2.1522 0.0000 0.0000
Ru 0.0000 2.1522 0.0000
Ru 0.0000 0.0000 2.1522
S 0.0000 0.0000 0.0000
W 2.1522 2.1522 2.1522
```

Energy above the lowest structure with this stoichiometry: 0 meV/atom

---

No. 2
Below is a geometry-optimized Ru2WS structure, with properties calculated at the PBE level.

The structure in extended XYZ format:
```
8
Lattice="5.4264 0.0000 0.0000 0.0000 5.4264 0.0000 2.7132 2.7132 5.3500" Properties=species:S:1:pos:R:3 pbc="T T T"
Ru 4.0698 4.2282 4.0125
Ru 1.5150 4.0698 1.3375
Ru 6.7830 6.6246 4.0125
Ru 3.9114 1.3566 1.3375
W 0.0000 0.0000 0.0000
W 5.4264 2.7132 2.6750
S 2.7132 5.4264 2.6750
S 2.7132 2.7132 0.0000
```

---

No. 3
Below is a geometry-optimized RuW2S structure, with properties calculated at the PBE level.

The structure in extended XYZ format:
```
8
Lattice="-2.0940 2.2576 -4.8541 3.5268 -3.3396 -3.0746 -2.7448 -4.0628 -4.1092" Properties=species:S:1:pos:R:3 pbc="T T T"
W -0.8525 -3.9488 -9.9780
W -1.5258 -0.0526 -4.3799
W -1.4737 -3.4979 -6.0967
W 1.2280 -2.7903 -3.6212
Ru 0.0000 0.0000 0.0000
Ru -2.0612 -1.1731 -6.4638
S 0.7492 -3.9717 -5.5741
S 0.7164 -0.5410 -3.9643
```

---

No. 4
Below is a geometry-optimized Ru3WS structure, with properties calculated at the PBE level.

The structure in extended XYZ format:
```
5
Lattice="4.7208 0.0000 0.0000 0.0000 4.7208 0.0000 0.0000 0.0000 4.7208" Properties=species:S:1:pos:R:3 pbc="T T T"
Ru 2.3604 0.0000 0.0000
Ru 0.0000 0.0000 2.3604
Ru 0.0000 2.3604 0.0000
S 2.3604 2.3604 2.3604
W 0.0000 0.0000 0.0000
```

Energy above the lowest structure with this stoichiometry: 1039 meV/atom

---

No. 5
Below is a geometry-optimized Y3RuS structure, with properties calculated at the PBE level.

The structure in extended XYZ format:
```
5
Lattice="5.0784 0.0000 0.0000 0.0000 5.0784 0.0000 0.0000 0.0000 5.0784" Properties=species:S:1:pos:R:3 pbc="T T T"
S 0.0000 0.0000 0.0000
Y 0.0000 0.0000 2.5392
Y 0.0000 2.5392 0.0000
Y 2.5392 0.0000 0.0000
Ru 2.5392 2.5392 2.5392
```

Energy above the lowest structure with this stoichiometry: 0 meV/atom

---

No. 6
Below is a geometry-optimized Y2RuS structure, with properties calculated at the PBE level.

The structure in extended XYZ format:
```
4
Lattice="-2.0616 -0.4081 2.6828 1.7384 -2.7856 0.9121 4.3231 3.9841 3.9281" Properties=species:S:1:pos:R:3 pbc="T T T"
Y 3.2802 3.0230 2.9805
Y 1.0429 0.9611 0.9476
S 2.0000 0.3952 3.7615
Ru -0.1616 -1.5969 1.7975
```

Energy above the lowest structure with this stoichiometry: 0 meV/atom

---

No. 7
Below is a geometry-optimized YRuS2 structure, with properties calculated at the PBE level.

The structure in extended XYZ format:
```
4
Lattice="0.0000 3.2326 3.2326 3.2326 0.0000 3.2326 3.2326 3.2326 0.0000" Properties=species:S:1:pos:R:3 pbc="T T T"
S 4.8490 4.8490 4.8490
S 1.6163 1.6163 1.6163
Y 0.0000 0.0000 0.0000
Ru 3.2326 3.2326 3.2326
```

Energy above the lowest structure with this stoichiometry: 156 meV/atom

---

No. 8
Below is a geometry-optimized YRuS2 structure, with properties calculated at the PBE level.

The structure in extended XYZ format:
```
8
Lattice="5.0832 0.0000 0.0000 0.0000 5.0832 0.0000 2.5416 2.5416 6.7146" Properties=species:S:1:pos:R:3 pbc="T T T"
Y 2.5416 2.5416 0.0000
Y 2.5416 5.0832 3.3573
S 3.8124 3.5020 5.0359
S 6.3540 6.6645 5.0359
S 0.9604 3.8124 1.6786
S 4.1229 1.2708 1.6786
Ru 0.0000 0.0000 0.0000
Ru 5.0832 2.5416 3.3573
```

Energy above the lowest structure with this stoichiometry: 0 meV/atom

---

| no. | ΔE_f (raw) (eV/atom) |
| --- | --- |
| 1 | 0.86 |
| 2 | 0.46 |
| 3 | 0.86 |
| 4 | 1.90 |
| 5 | -0.29 |
| 6 | -1.00 |
| 7 | -0.70 |
| 8 | -0.86 |